Compound: LiAuSe2
Source: OQMD
Functional: PBE
Structure: relaxed

Values from the calculation:
The value obtained for the density is 6.8 Mg/m³. As for the symmetry: P2_1/c. The electronic total energy comes out at -56.4 eV per cell.

Cell: 6.6771 8.3751 6.5763 Å, 90.00 106.99 90.00°
Element x y z (fractional)
Au 0.7336 0.6274 0.0117
Au 0.7336 0.8726 0.5117
Se 0.9520 0.8328 0.2579
Se 0.4913 0.9241 0.7322
Au 0.2664 0.1274 0.4883
Se 0.0480 0.3328 0.2421
Se 0.5087 0.0759 0.2678
Li 0.7644 0.3709 0.4899
Li 0.2356 0.8709 0.0101
Se 0.0480 0.1672 0.7421
Li 0.2356 0.6291 0.5101
Se 0.5087 0.4241 0.7678
Au 0.2664 0.3726 0.9883
Li 0.7644 0.1291 0.9899
Se 0.9520 0.6672 0.7579
Se 0.4913 0.5759 0.2322